1.
Material: Ba2Cu17
Method: DFT, PBE
State: relaxed

Output
The theoretical density comes out at 7.735 g cm⁻³. For the size of the total moment, the calculation gives 0.0 μB per formula unit. As for the calculated formation energy: 43 kJ/mol of formula units. The value obtained for the raw total energy is -3.8439 eV/atom.

a b c (Å): 8.8613 8.8613 12.8327
angles (deg): 90.00 90.00 120.00
Space group R-3m (No. 166, hexagonal axes)
Symmetry-distinct sites (fractional):
Ba 0.0000 0.0000 0.1551 x6
Cu 0.0000 0.0000 0.4058 x6
Cu 0.0000 0.2805 0.5000 x18
Cu 0.0000 0.5000 0.0000 x9
Cu 0.0122 0.5061 0.3399 x18

***

2.
Material: BaCu
Method: DFT, PBE
State: relaxed

Output
The theoretical density comes out at 4.449 g cm⁻³. For the size of the total moment, the calculation gives 0.0 μB per formula unit. As for the calculated formation energy: 15 kJ/mol of formula units. The value obtained for the raw total energy is -2.9331 eV/atom.

a b c (Å): 15.5430 4.5864 6.8055
angles (deg): 90.00 111.98 90.00
Space group Cm (No. 8)
Symmetry-distinct sites (fractional):
Ba 0.0000 0.0000 0.0000 x2
Ba 0.1439 0.5000 0.6234 x2
Ba 0.3184 0.0000 0.2371 x2
Cu 0.3312 0.0000 0.7278 x2
Cu 0.3373 0.5000 0.5808 x2
Cu 0.4737 0.5000 0.4799 x2

***

3.
Material: BaCu
Method: DFT, PBE
State: relaxed

Output
The theoretical density comes out at 4.516 g cm⁻³. For the size of the total moment, the calculation gives 0.0 μB per formula unit. As for the calculated formation energy: 40 kJ/mol of formula units. The value obtained for the raw total energy is -2.8016 eV/atom.

a b c (Å): 4.2807 4.2807 9.3079
angles (deg): 90.00 90.00 120.00
Space group P-3m1 (No. 164)
Symmetry-distinct sites (fractional):
Ba 0.3333 0.6667 0.2177 x2
Cu 0.3333 0.6667 0.5502 x2

***

4.
Material: BaCu
Method: DFT, PBE
State: relaxed

Output
The theoretical density comes out at 4.395 g cm⁻³. For the size of the total moment, the calculation gives 0.0 μB per formula unit. As for the calculated formation energy: 1 kJ/mol of formula units. The value obtained for the raw total energy is -3.0017 eV/atom.

a b c (Å): 11.6575 11.6575 4.4679
angles (deg): 90.00 90.00 90.00
Space group I4/mmm (No. 139)
Symmetry-distinct sites (fractional):
Ba 0.0000 0.2626 0.0000 x8
Cu 0.2194 0.2194 0.5000 x8

***

5.
Material: Ba3Cu2
Method: DFT, PBE
State: relaxed

Output
The theoretical density comes out at 4.376 g cm⁻³. For the size of the total moment, the calculation gives 0.0 μB per formula unit. As for the calculated formation energy: 14 kJ/mol of formula units. The value obtained for the raw total energy is -2.7628 eV/atom.

a b c (Å): 8.1353 8.1353 21.4150
angles (deg): 90.00 90.00 120.00
Space group R-3c (No. 167, hexagonal axes)
Symmetry-distinct sites (fractional):
Ba 0.0000 0.3666 0.2500 x18
Cu 0.0000 0.0000 0.1911 x12

***

6.
Material: BaCu
Method: DFT, PBE
State: relaxed

Output
The theoretical density comes out at 3.245 g cm⁻³. For the size of the total moment, the calculation gives 0.3 μB per formula unit. As for the calculated formation energy: 53 kJ/mol of formula units. The value obtained for the raw total energy is -2.7341 eV/atom.

a b c (Å): 9.3685 9.3685 9.3685
angles (deg): 90.00 90.00 90.00
Space group I-43m (No. 217)
Symmetry-distinct sites (fractional):
Ba 0.2074 0.2074 0.7926 x8
Cu 0.0937 0.0937 0.0937 x8